Computed, not measured: an optimized crystal structure of NdDyNi at the GGA-PBE level of DFT.

The structure in extended XYZ format:
```
6
Lattice="3.4583 0.0073 0.0003 -0.0116 7.0041 0.1872 -1.7275 -1.6819 6.2306" Properties=species:S:1:pos:R:3 pbc="T T T"
Dy 0.4045 -0.6638 5.6784
Dy 0.3920 6.2345 2.5577
Nd 0.3961 2.8240 5.7090
Nd 0.4005 2.7470 2.5303
Ni 2.1274 0.7844 3.9823
Ni 2.1278 4.7934 4.2542
```

Computed properties:
Its energy above the most stable polymorph in this dataset is 61 meV per atom. The raw total energy comes out at -0.385 Ry/atom. As for the formation enthalpy at 0 K: -0.187 eV/atom. The density of states at the Fermi level comes out at 3.4 states/eV/f.u.